CsNiP2O after structural relaxation. Source: Alexandria, functional GGA+U.

Properties
**Total energy**: -1.64 eV/atom
**SG**: P4/mmm (123)
**Total moment**: 0.00 μB per formula unit
**ρ**: 3.587 g/cm3

CIF file:
```
data_CsNiP2O
_symmetry_space_group_name_H-M 'P 1'
_symmetry_Int_Tables_number 1
_cell_length_a 5.475
_cell_length_b 5.475
_cell_length_c 4.163
_cell_angle_alpha 90.00
_cell_angle_beta 90.00
_cell_angle_gamma 90.00
loop_
_symmetry_equiv_pos_as_xyz
'x,y,z'
loop_
_atom_site_label
_atom_site_type_symbol
_atom_site_fract_x
_atom_site_fract_y
_atom_site_fract_z
_atom_site_occupancy
Cs1 Cs 0.000 0.000 0.000 1
Ni1 Ni 0.500 0.500 0.500 1
P1 P 0.000 0.500 0.000 1
P2 P 0.500 0.000 0.000 1
O1 O 0.000 0.000 0.500 1
```